5
Lattice="4.040 0.000 0.000 0.000 4.040 0.000 0.000 0.000 3.839" Properties=species:S:1:pos:R:3 comment="CrBiN2F, relaxed, DFT PBE+U" de_polymorph_mev_per_atom=0.0 pbc="T T T"
Cr 0.000 0.000 0.000
N 0.000 2.020 0.000
N 2.020 0.000 0.000
Bi 2.020 2.020 1.920
F 0.000 0.000 1.920